No. 1
Entry from the Alexandria database: a relaxed Al2OsW crystal (PBE).

The calculation puts the energy above the most stable polymorph in this dataset at 162 meV/atom. Its crystal system is trigonal.

The structure belongs to space group R3m (No. 160, hexagonal axes); the cell edges are 2.8484, 2.8484 and 26.3398 Å and the angles 90.00°, 90.00° and 120.00°. The distinct sites, in fractional coordinates, are Al at (0.0000, 0.0000, 0.0000), Al at (0.0000, 0.0000, 0.2460), Os at (0.0000, 0.0000, 0.4990) and W at (0.0000, 0.0000, 0.7519).

No. 2
Entry from the Alexandria database: a relaxed KBa2NaRe crystal (PBE).

Its energy is -2.22 eV per atom. Its crystal system is tetragonal.

The structure belongs to space group P4/mmm (No. 123); the cell edges are 6.650, 6.650 and 5.755 Å and the angles 90.00°, 90.00° and 90.00°. The distinct sites, in fractional coordinates, are K at (0.000, 0.000, 0.000), Ba at (0.000, 0.500, 0.500), Na at (0.000, 0.000, 0.500) and Re at (0.500, 0.500, 0.000).

No. 3
Entry from the Alexandria database: a relaxed Ti2Zn2Si crystal (PBE).

Its uncorrected formation energy is -0.0360 eV/atom. The calculation puts the energy above the most stable polymorph in this dataset at 114 meV/atom. Its crystal system is tetragonal.

The structure belongs to space group P4/mbm (No. 127); the cell edges are 6.515, 6.515 and 3.996 Å and the angles 90.00°, 90.00° and 90.00°. The distinct sites, in fractional coordinates, are Ti at (0.152, 0.348, 0.000), Zn at (0.149, 0.649, 0.500) and Si at (0.000, 0.000, 0.000).

No. 4
Entry from the Alexandria database: a relaxed Ac2SbRh4Pb3 crystal (PBE).

Its uncorrected formation energy is -0.4935 eV/atom. Its crystal system is tetragonal.

The structure belongs to space group P-4m2 (No. 115); the cell edges are 4.686, 4.686 and 10.988 Å and the angles 90.00°, 90.00° and 90.00°. The distinct sites, in fractional coordinates, are Ac at (0.000, 0.500, 0.249), Sb at (0.000, 0.000, 0.500), Rh at (0.000, 0.000, 0.000), Rh at (0.000, 0.500, 0.626), Rh at (0.500, 0.500, 0.000), Pb at (0.000, 0.500, 0.872) and Pb at (0.500, 0.500, 0.500).

No. 5
Entry from the Alexandria database: a relaxed Li2ZnCl crystal (PBE).

Its uncorrected formation energy is -0.6146 eV/atom. The calculation puts the energy above the most stable polymorph in this dataset at 157 meV/atom. Its crystal system is orthorhombic.

The structure belongs to space group Pmmm (No. 47); the cell edges are 3.556, 3.653 and 6.263 Å and the angles 90.00°, 90.00° and 90.00°. The distinct sites, in fractional coordinates, are Li at (0.000, 0.000, 0.000), Li at (0.500, 0.000, 0.500), Zn at (0.000, 0.500, 0.500) and Cl at (0.500, 0.500, 0.000).

No. 6
Entry from the Alexandria database: a relaxed Y4CSe2S crystal (PBE).

Its uncorrected formation energy is -1.5741 eV/atom. Its crystal system is monoclinic.

The structure belongs to space group P2/m (No. 10); the cell edges are 6.788, 3.866 and 6.958 Å and the angles 90.00°, 108.62° and 90.00°. The distinct sites, in fractional coordinates, are Y at (0.216, 0.000, 0.209), Y at (0.235, 0.500, 0.784), C at (0.000, 0.500, 0.000), Se at (0.000, 0.000, 0.500), Se at (0.500, 0.500, 0.500) and S at (0.500, 0.000, 0.000).

No. 7
Entry from the Alexandria database: a relaxed LiCeY2Se4 crystal (PBE).

Its uncorrected formation energy is -1.7458 eV/atom. Its crystal system is monoclinic.

The structure belongs to space group P2/m (No. 10); the cell edges are 7.099, 4.090 and 7.136 Å and the angles 90.00°, 109.30° and 90.00°. The distinct sites, in fractional coordinates, are Li at (0.000, 0.000, 0.000), Ce at (0.500, 0.500, 0.000), Y at (0.000, 0.500, 0.500), Y at (0.500, 0.000, 0.500), Se at (0.240, 0.000, 0.747) and Se at (0.243, 0.500, 0.250).

No. 8
Entry from the Alexandria database: a relaxed Sm6Ni2Hg crystal (PBE).

Its energy is -4.75 eV per atom. Its crystal system is orthorhombic.

The structure belongs to space group Immm (No. 71); the cell edges are 9.421, 9.976 and 10.272 Å and the angles 90.00°, 90.00° and 90.00°. The distinct sites, in fractional coordinates, are Sm at (0.000, 0.199, 0.231), Sm at (0.192, 0.500, 0.175), Sm at (0.207, 0.319, 0.500), Ni at (0.000, 0.358, 0.000), Ni at (0.000, 0.500, 0.378), Hg at (0.000, 0.000, 0.000) and Hg at (0.000, 0.000, 0.500).

No. 9
Entry from the Alexandria database: a relaxed RuRh crystal (PBE).

Its energy is -7.92 eV per atom. Its crystal system is trigonal.

The structure belongs to space group R-3m (No. 166, hexagonal axes); the cell edges are 4.2441, 4.2441 and 11.7994 Å and the angles 90.00°, 90.00° and 120.00°. The distinct sites, in fractional coordinates, are Ru at (0.0000, 0.0000, 0.1682) and Rh at (0.0000, 0.0000, 0.3900).

No. 10
Entry from the Alexandria database: a relaxed Si2BO2 crystal (PBE).

Its uncorrected formation energy is -0.6864 eV/atom. The calculation puts the energy above the most stable polymorph in this dataset at 0 meV/atom. Its crystal system is tetragonal.

The structure belongs to space group P4/mbm (No. 127); the cell edges are 5.610, 5.610 and 3.393 Å and the angles 90.00°, 90.00° and 90.00°. The distinct sites, in fractional coordinates, are Si at (0.166, 0.334, 0.000), B at (0.000, 0.000, 0.000) and O at (0.181, 0.319, 0.500).

No. 11
Entry from the Alexandria database: a relaxed CaTh2N3 crystal (PBE).

Its uncorrected formation energy is -1.4546 eV/atom. Its crystal system is orthorhombic.

The structure belongs to space group Pnma (No. 62); the cell edges are 7.265, 5.141 and 10.847 Å and the angles 90.00°, 90.00° and 90.00°. The distinct sites, in fractional coordinates, are Ca at (0.128, 0.250, 0.084), Th at (0.119, 0.250, 0.754), Th at (0.131, 0.250, 0.418), N at (0.119, 0.750, 0.753), N at (0.122, 0.750, 0.413) and N at (0.144, 0.750, 0.091).

No. 12
Entry from the Alexandria database: a relaxed AcErCoRh crystal (PBE).

Its energy is -6.06 eV per atom. Its crystal system is cubic.

The structure belongs to space group F-43m (No. 216); the cell edges are 7.057, 7.057 and 7.057 Å and the angles 90.00°, 90.00° and 90.00°. The distinct sites, in fractional coordinates, are Ac at (0.000, 0.000, 0.000), Er at (0.000, 0.000, 0.500), Co at (0.250, 0.250, 0.250) and Rh at (0.250, 0.250, 0.750).